# 1
# PBE-GGA SrAc12Si6, relaxed
# offset from the most stable computed form = 0.00 eV per formula unit
# E_tot = -4.72 eV/atom
# V = 36.9 Å³ per atom
# uncorrected formation energy = -594 kJ/mol of formula units
data_SrAc12Si6
_symmetry_space_group_name_H-M 'I m -3'
_symmetry_Int_Tables_number 204
_symmetry_space_group_name_Hall '-I 2 2 3'
_cell_length_a 11.190
_cell_length_b 11.190
_cell_length_c 11.190
_cell_angle_alpha 90.00
_cell_angle_beta 90.00
_cell_angle_gamma 90.00
loop_
_atom_site_label
_atom_site_type_symbol
_atom_site_fract_x
_atom_site_fract_y
_atom_site_fract_z
Sr1 Sr 0.000 0.000 0.000
Ac1 Ac 0.000 0.307 0.192
Si1 Si 0.000 0.107 0.500

# 2
# PBE-GGA AgCF2, relaxed
# offset from the most stable computed form = 4.59 eV per formula unit
# E_tot = -3.27 eV/atom
# V = 12.6 Å³ per atom
# uncorrected formation energy = 264 kJ/mol of formula units
data_AgCF2
_symmetry_space_group_name_H-M 'I -4 2 d'
_symmetry_Int_Tables_number 122
_symmetry_space_group_name_Hall 'I -4 2bw'
_cell_length_a 3.783
_cell_length_b 3.783
_cell_length_c 14.098
_cell_angle_alpha 90.00
_cell_angle_beta 90.00
_cell_angle_gamma 90.00
loop_
_atom_site_label
_atom_site_type_symbol
_atom_site_fract_x
_atom_site_fract_y
_atom_site_fract_z
Ag1 Ag 0.000 0.000 0.000
C1 C 0.000 0.000 0.500
F1 F 0.214 0.250 0.625

# 3
# PBE-GGA LiFeW3, relaxed
# offset from the most stable computed form = 1.00 eV per formula unit
# E_tot = -8.23 eV/atom
# formation energy from the elements = 1622.1 meV per atom
# V = 14.4 Å³ per atom
data_LiFeW3
_symmetry_space_group_name_H-M 'P m -3 m'
_symmetry_Int_Tables_number 221
_symmetry_space_group_name_Hall '-P 4 2 3'
_cell_length_a 4.159
_cell_length_b 4.159
_cell_length_c 4.159
_cell_angle_alpha 90.00
_cell_angle_beta 90.00
_cell_angle_gamma 90.00
loop_
_atom_site_label
_atom_site_type_symbol
_atom_site_fract_x
_atom_site_fract_y
_atom_site_fract_z
Li1 Li 0.000 0.000 0.000
Fe1 Fe 0.500 0.500 0.500
W1 W 0.000 0.000 0.500

# 4
# PBE-GGA BaCdH6Pd, relaxed
# E_tot = -3.27 eV/atom
# V = 12.2 Å³ per atom
data_BaCdH6Pd
_symmetry_space_group_name_H-M 'P -6 m 2'
_symmetry_Int_Tables_number 187
_symmetry_space_group_name_Hall 'P -6 2'
_cell_length_a 4.9785
_cell_length_b 4.9785
_cell_length_c 5.1063
_cell_angle_alpha 90.00
_cell_angle_beta 90.00
_cell_angle_gamma 120.00
loop_
_atom_site_label
_atom_site_type_symbol
_atom_site_fract_x
_atom_site_fract_y
_atom_site_fract_z
Ba1 Ba 0.0000 0.0000 0.0000
Cd1 Cd 0.3333 0.6667 0.5000
H1 H 0.5152 0.0303 0.2583
Pd1 Pd 0.6667 0.3333 0.5000

# 5
# PBE-GGA TlMoW2, relaxed
# offset from the most stable computed form = 0.97 eV per formula unit
# E_tot = -9.03 eV/atom
# formation energy from the elements = 745.9 meV per atom
# V = 18.1 Å³ per atom
data_TlMoW2
_symmetry_space_group_name_H-M 'R -3 m'
_symmetry_Int_Tables_number 166
_symmetry_space_group_name_Hall '-R 3 2"'
_cell_length_a 3.0270
_cell_length_b 3.0270
_cell_length_c 27.3731
_cell_angle_alpha 90.00
_cell_angle_beta 90.00
_cell_angle_gamma 120.00
loop_
_atom_site_label
_atom_site_type_symbol
_atom_site_fract_x
_atom_site_fract_y
_atom_site_fract_z
Tl1 Tl 0.0000 0.0000 0.0000
Mo1 Mo 0.0000 0.0000 0.5000
W1 W 0.0000 0.0000 0.2419

# 6
# PBE-GGA AcPmAl, relaxed
# offset from the most stable computed form = 0.10 eV per formula unit
# E_tot = -4.31 eV/atom
# formation energy from the elements = -114.3 meV per atom
# V = 32.2 Å³ per atom
data_AcPmAl
_symmetry_space_group_name_H-M 'P -3 m 1'
_symmetry_Int_Tables_number 164
_symmetry_space_group_name_Hall '-P 3 2"'
_cell_length_a 5.2672
_cell_length_b 5.2672
_cell_length_c 8.0385
_cell_angle_alpha 90.00
_cell_angle_beta 90.00
_cell_angle_gamma 120.00
loop_
_atom_site_label
_atom_site_type_symbol
_atom_site_fract_x
_atom_site_fract_y
_atom_site_fract_z
Ac1 Ac 0.3333 0.6667 0.1240
Pm1 Pm 0.3333 0.6667 0.5969
Al1 Al 0.0000 0.0000 0.3212

# 7
# PBE-GGA HfVS2N, relaxed
# offset from the most stable computed form = 1.53 eV per formula unit
# E_tot = -7.19 eV/atom
# V = 19.9 Å³ per atom
# uncorrected formation energy = -30 kJ/mol of formula units
data_HfVS2N
_symmetry_space_group_name_H-M 'P 4/m m m'
_symmetry_Int_Tables_number 123
_symmetry_space_group_name_Hall '-P 4 2'
_cell_length_a 4.962
_cell_length_b 4.962
_cell_length_c 4.043
_cell_angle_alpha 90.00
_cell_angle_beta 90.00
_cell_angle_gamma 90.00
loop_
_atom_site_label
_atom_site_type_symbol
_atom_site_fract_x
_atom_site_fract_y
_atom_site_fract_z
Hf1 Hf 0.000 0.000 0.000
V1 V 0.500 0.500 0.500
S1 S 0.000 0.500 0.000
N1 N 0.000 0.000 0.500

# 8
# PBE-GGA YZn2, relaxed
# E_tot = -3.04 eV/atom
# formation energy from the elements = -36.0 meV per atom
# V = 22.8 Å³ per atom
data_YZn2
_symmetry_space_group_name_H-M 'P 4/m m m'
_symmetry_Int_Tables_number 123
_symmetry_space_group_name_Hall '-P 4 2'
_cell_length_a 3.707
_cell_length_b 3.707
_cell_length_c 4.983
_cell_angle_alpha 90.00
_cell_angle_beta 90.00
_cell_angle_gamma 90.00
loop_
_atom_site_label
_atom_site_type_symbol
_atom_site_fract_x
_atom_site_fract_y
_atom_site_fract_z
Y1 Y 0.000 0.000 0.000
Zn1 Zn 0.000 0.500 0.500